Here is crystalline LiErCoSe3 at its relaxed geometry from OQMD via LeMat-Bulk. Energies are from PBE.

raw total energy = -5.05 eV/atom

Cell: 3.852 12.857 10.590 Å, 90.00 90.00 90.00°
Space group Cmcm (No. 63)
Symmetry-distinct sites (fractional):
Li (0.000, 0.215, 0.250) (multiplicity 4)
Er (0.000, 0.000, 0.000) (multiplicity 4)
Co (0.000, 0.479, 0.750) (multiplicity 4)
Se (0.000, 0.089, 0.750) (multiplicity 4)
Se (0.000, 0.356, 0.581) (multiplicity 8)